Here is a relaxed structure of ScSnPt from the Alexandria database. Energies are from PBE-GGA.

a b c (Å): 4.535 4.535 4.535
angles (deg): 60.00 60.00 60.00
Fractional coordinates of all 3 atoms:
1 Sc 0.500 0.500 0.500
2 Sn 0.000 0.000 0.000
3 Pt 0.250 0.250 0.250

Spin magnetization, μB per formula unit: 0.00
SG: F-43m
Total energy, eV/f.u.: -19.43
ΔH_f (0 K), eV per atom: -1.018